1.
! NpU3Se4 | the Alexandria database | PBE-GGA | relaxed; values from VASP
! Formation energy (no corrections), eV per atom: -0.971
! Calculated total energy, hartree per atom: -0.31473
! Density, g cm⁻³: 11.0
&SYSTEM
  ibrav = 0, nat = 8, ntyp = 3
/
ATOMIC_SPECIES
Se 78.96 Se.upf
U 238.03 U.upf
Np 237.00 Np.upf
CELL_PARAMETERS angstrom
5.2561 0.0050 -2.3301
-1.0370 5.1528 -2.3299
-0.0171 -0.0211 7.0555
ATOMIC_POSITIONS crystal
Se 0.5000 0.0000 0.0000
Se 0.7498 0.7498 0.4997
U 0.7500 0.2500 0.5000
Se 0.0000 0.5000 0.0000
U 0.5000 0.5000 0.0000
U 0.2500 0.7500 0.5000
Se 0.2502 0.2502 0.5004
Np 0.0000 0.0000 0.0000



2.
! Np3U4Se8 | the Alexandria database | PBE-GGA | relaxed; values from VASP
! Formation energy (no corrections), eV per atom: -1.032
! Calculated total energy, hartree per atom: -0.31196
! Density, g cm⁻³: 10.1
&SYSTEM
  ibrav = 0, nat = 15, ntyp = 3
/
ATOMIC_SPECIES
Se 78.96 Se.upf
Np 237.00 Np.upf
U 238.03 U.upf
CELL_PARAMETERS angstrom
7.0686 -0.1604 -3.8809
-4.5595 6.7114 -0.1994
-0.1442 0.1589 8.1133
ATOMIC_POSITIONS crystal
Se 0.0014 0.2568 0.2568
Np 0.5000 0.5000 0.5000
Se 0.0000 0.7432 0.2568
U 0.0000 0.0000 0.5000
Np 0.5000 0.0000 0.5000
Se 0.5105 0.2533 0.2533
Se 0.9986 0.7432 0.7432
Se 0.0000 0.2568 0.7432
Np 0.5000 0.5000 0.0000
U 0.5000 0.0000 0.0000
Se 0.5000 0.2498 0.7502
Se 0.5000 0.7502 0.2498
U 0.0000 0.5000 0.0000
Se 0.4895 0.7467 0.7467
U 0.0000 0.0000 0.0000